Hf3TiAl | PBE | relaxed

## Properties
As for the energy of formation: 0.148 eV/atom. The space group is P2_1/m. The calculation puts the energy relative to the lowest polymorph listed for this composition at 0 meV/atom.

Structure (POSCAR):
```
Hf3TiAl
1.0
-0.965 2.252 1.867
-5.472 -0.691 -4.524
-4.214 -6.905 6.152
Ti Hf Al
2 6 2
Cartesian
-6.528 -3.295 4.421
-4.123 -2.049 -0.927
-6.624 -0.775 -1.211
-6.649 -3.690 -0.244
-4.002 -1.653 3.738
-4.027 -4.568 4.705
-8.726 -7.094 2.789
-1.925 1.751 0.705
-2.726 -1.060 1.140
-7.925 -4.284 2.354
```

HfTiAl6 | PBE | relaxed

## Properties
As for the energy of formation: -0.375 eV/atom. The space group is P4/mmm.

Structure (POSCAR):
```
HfTiAl6
1.0
4.037 0.000 0.000
0.000 4.037 0.000
0.000 0.000 8.059
Al Hf Ti
6 1 1
Cartesian
2.018 2.018 0.000
0.000 2.018 2.070
0.000 2.018 5.989
2.018 0.000 2.070
2.018 0.000 5.989
2.018 2.018 4.029
0.000 0.000 0.000
0.000 0.000 4.029
```

Hf2TiAl | PBE | relaxed

## Properties
As for the energy of formation: 0.355 eV/atom. The space group is I-42d.

Structure (POSCAR):
```
Hf2TiAl
1.0
7.623 0.000 0.000
0.000 7.623 0.000
3.812 3.812 2.807
Al Hf Ti
2 4 2
Cartesian
3.812 3.812 0.000
3.812 7.623 1.403
1.964 5.717 0.702
9.529 9.471 2.105
5.717 5.776 2.105
5.659 1.906 0.702
7.623 3.812 1.403
0.000 0.000 0.000
```

Hf3TiAl | PBE | relaxed

## Properties
As for the energy of formation: 0.212 eV/atom. The space group is Cmcm. The calculation puts the energy relative to the lowest polymorph listed for this composition at 64 meV/atom.

Structure (POSCAR):
```
Hf3TiAl
1.0
5.385 0.000 0.000
0.000 4.960 -2.632
0.001 0.913 7.713
Hf Al Ti
6 2 2
Cartesian
1.347 3.536 3.705
0.000 0.000 0.000
4.039 4.789 0.077
2.693 0.000 0.000
4.039 2.338 1.377
1.347 1.085 5.005
4.040 4.735 2.934
1.346 1.139 2.147
4.040 3.125 5.890
1.346 2.749 -0.809
```

Hf3TiAl8 | PBE | relaxed

## Properties
As for the energy of formation: -0.412 eV/atom. The space group is R3m.

Structure (POSCAR):
```
Hf3TiAl8
1.0
5.250 0.000 0.000
2.625 4.546 0.000
2.625 1.515 8.564
Al Hf Ti
8 3 1
Cartesian
5.250 4.545 1.619
7.875 3.034 5.873
7.875 4.546 8.031
3.939 2.274 1.619
9.185 5.303 5.873
2.625 1.515 3.743
6.561 2.274 1.619
6.564 5.303 5.873
7.875 4.546 0.021
5.250 3.031 4.264
5.250 3.031 7.497
7.875 4.546 3.207
```

HfTi4Al2 | PBE | relaxed

## Properties
As for the energy of formation: -0.101 eV/atom. The space group is Fmmm. The calculation puts the energy relative to the lowest polymorph listed for this composition at 0 meV/atom.

Structure (POSCAR):
```
HfTi4Al2
1.0
-6.444 -1.069 7.217
-3.887 0.599 -3.381
1.874 -5.185 0.905
Ti Al Hf
8 4 2
Cartesian
-7.782 -2.795 2.485
-2.618 -2.560 0.566
-5.867 0.271 -1.162
-0.675 -2.860 2.256
-5.839 -3.095 4.175
-4.464 -0.740 4.998
-3.184 0.094 -0.300
-7.147 -0.563 4.136
-1.971 -1.629 -2.001
-3.249 -2.463 3.298
-5.207 -3.192 1.442
-0.042 -2.957 -0.476
0.000 0.000 0.000
-5.165 -0.235 1.918
```